Entry from the Alexandria database: a relaxed structure of MgTa2Pb (GGA-PBE).

Cell: 3.4877 4.8412 9.7253 Å, 90.00 90.00 90.00°
Space group Cmmm (No. 65)
Inequivalent atoms, fractional coordinates:
Mg  0.0000  0.0000  0.0000 x2
Ta  0.0000  0.5000  0.2500 x4
Pb  0.0000  0.0000  0.5000 x2

Properties
The formation energy is 2.1 eV per formula unit.

Entry from the Alexandria database: a relaxed structure of MgTaPb2 (GGA-PBE).

Cell: 3.1904 4.9452 5.9674 Å, 90.00 90.00 90.00°
Space group Pmm2 (No. 25)
Inequivalent atoms, fractional coordinates:
Mg  0.0000  0.0000  0.0000 x1
Ta  0.5000  0.5000  0.7393 x1
Pb  0.0000  0.0000  0.5263 x1
Pb  0.5000  0.5000  0.2217 x1

Properties
The formation energy is 1.7 eV per formula unit.

Entry from the Alexandria database: a relaxed structure of MgTaPb (GGA-PBE).

Cell: 3.1861 3.1861 7.5913 Å, 90.00 90.00 120.00°
Space group P3m1 (No. 156)
Inequivalent atoms, fractional coordinates:
Mg  0.0000  0.0000  0.0000 x1
Ta  0.3333  0.6667  0.6920 x1
Pb  0.6667  0.3333  0.3612 x1

Properties
The formation energy is 1.1 eV per formula unit.

| no. | D(E_F) (states/eV/f.u.) | calculated volume (Å³/cell) |
| --- | --- | --- |
| 1 | 2.42 | 164.2 |
| 2 | 2.00 | 94.1 |
| 3 | 2.73 | 66.7 |